(A)
Compound: Hf3In2Sn
Source: Alexandria
Functional: GGA-PBE
Structure: optimized geometry

total magnetization: 0.0 μB per formula unit

```
Hf3In2Sn
1.0
3.063 -8.060 0.000
3.063 8.060 0.000
0.000 0.000 5.637
Hf In Sn
6 4 2
Direct
0.088 0.426 0.750
0.152 0.848 0.750
0.426 0.088 0.250
0.574 0.912 0.750
0.848 0.152 0.250
0.912 0.574 0.250
0.243 0.243 0.000
0.243 0.243 0.500
0.757 0.757 0.000
0.757 0.757 0.500
0.327 0.673 0.250
0.673 0.327 0.750
```

(B)
Compound: Hf3In2Sn
Source: Alexandria
Functional: GGA-PBE
Structure: optimized geometry

total magnetization: 0.0 μB per formula unit

```
Hf3In2Sn
1.0
2.678 -8.040 0.000
2.678 8.040 0.000
0.000 0.000 3.088
Hf In Sn
3 2 1
Direct
0.000 0.000 0.000
0.339 0.661 0.000
0.661 0.339 0.000
0.171 0.829 0.500
0.829 0.171 0.500
0.500 0.500 0.500
```

Question: of the structures shown, which is the least stable? Reply: (A).